# 1
{"formula": "Y2CrIn", "functional": "PBE-GGA", "state": "optimized geometry", "e_form_ev_per_fu": -0.11, "n_ef_per_ev_cell": 3.95, "space_group": "Amm2, No. 38", "e_tot_ry_per_atom": -0.4667, "lattice_angstrom": [[-2.589, 2.066, 3.529], [2.061, -1.628, 2.464], [4.716, 3.834, 1.215]], "species": ["Cr", "In", "Y", "Y"], "fractional_positions": [[0.000, 0.696, 0.483], [0.500, 0.558, 0.760], [0.000, 0.964, 0.947], [0.500, 0.282, 0.310]]}

***

# 2
{"formula": "Y2CrIn", "functional": "PBE-GGA", "state": "optimized geometry", "e_form_ev_per_fu": 0.63, "n_ef_per_ev_cell": 3.33, "space_group": "R-3m, No. 166", "e_tot_ry_per_atom": -0.4531, "lattice_angstrom": [[9.916, 0.024, 0.014], [9.279, 3.495, 0.014], [9.279, 1.701, 3.053]], "species": ["Cr", "In", "Y", "Y"], "fractional_positions": [[0.250, 0.250, 0.250], [0.750, 0.750, 0.750], [0.992, 0.992, 0.992], [0.508, 0.508, 0.508]]}

***

# 3
{"formula": "Y2Cr4In", "functional": "PBE-GGA", "state": "optimized geometry", "e_form_ev_per_fu": 8.09, "n_ef_per_ev_cell": 7.25, "space_group": "I4/mmm, No. 139", "e_tot_ry_per_atom": -0.4837, "lattice_angstrom": [[-1.910, -4.028, -2.215], [4.439, -2.240, 0.246], [-0.556, -5.996, 5.789]], "species": ["Y", "Y", "Cr", "Cr", "Cr", "Cr", "In"], "fractional_positions": [[0.619, 0.619, 0.763], [0.381, 0.381, 0.237], [0.819, 0.819, 0.362], [0.181, 0.181, 0.638], [0.000, 0.500, 0.000], [0.500, 0.000, 0.000], [0.000, 0.000, 0.000]]}

***

# 4
{"formula": "YCrIn4", "functional": "PBE-GGA", "state": "optimized geometry", "e_form_ev_per_fu": 1.05, "n_ef_per_ev_cell": 4.13, "space_group": "F-43m, No. 216", "e_tot_ry_per_atom": -0.3184, "lattice_angstrom": [[-3.057, -4.525, -2.366], [-4.539, -2.414, 2.997], [-5.585, 0.840, -1.874]], "species": ["Y", "Cr", "In", "In", "In", "In"], "fractional_positions": [[0.750, 0.750, 0.750], [0.000, 0.000, 0.000], [0.875, 0.375, 0.375], [0.375, 0.375, 0.875], [0.375, 0.875, 0.375], [0.375, 0.375, 0.375]]}

***

# 5
{"formula": "Y2CrIn", "functional": "PBE-GGA", "state": "optimized geometry", "e_form_ev_per_fu": 0.36, "n_ef_per_ev_cell": 4.39, "space_group": "P4mm, No. 99", "e_tot_ry_per_atom": -0.4580, "lattice_angstrom": [[3.476, 0.000, 0.000], [0.000, 3.476, 0.000], [0.000, 0.000, 8.407]], "species": ["Cr", "In", "Y", "Y"], "fractional_positions": [[0.000, 0.000, 0.526], [0.500, 0.500, 0.708], [0.000, 0.000, 0.971], [0.500, 0.500, 0.295]]}

***

# 6
{"formula": "Y2CrIn", "functional": "PBE-GGA", "state": "optimized geometry", "e_form_ev_per_fu": 0.07, "n_ef_per_ev_cell": 3.52, "space_group": "Cm, No. 8", "e_tot_ry_per_atom": -0.4635, "lattice_angstrom": [[6.268, -0.002, 0.026], [5.205, 3.492, 0.026], [2.057, 0.626, 4.649]], "species": ["Cr", "In", "Y", "Y"], "fractional_positions": [[0.518, 0.518, 0.483], [0.222, 0.222, 0.276], [0.989, 0.989, 0.012], [0.770, 0.770, 0.729]]}

***

# 7
{"formula": "Y2CrIn", "functional": "PBE-GGA", "state": "optimized geometry", "e_form_ev_per_fu": -0.28, "n_ef_per_ev_cell": 2.87, "space_group": "P4/mmm, No. 123", "e_tot_ry_per_atom": -0.4698, "lattice_angstrom": [[3.668, 0.015, 0.000], [-0.014, 3.668, 0.000], [0.000, 0.000, 7.428]], "species": ["Cr", "In", "Y", "Y"], "fractional_positions": [[0.500, 0.500, 0.250], [0.500, 0.500, 0.750], [0.000, 0.000, 0.017], [0.000, 0.000, 0.483]]}

***

# 8
{"formula": "Y2CrIn", "functional": "PBE-GGA", "state": "optimized geometry", "e_form_ev_per_fu": 1.11, "n_ef_per_ev_cell": 4.14, "space_group": "R3m, No. 160", "e_tot_ry_per_atom": -0.4442, "lattice_angstrom": [[10.278, 0.016, 0.009], [9.679, 3.457, 0.009], [9.679, 1.684, 3.019]], "species": ["Cr", "In", "Y", "Y"], "fractional_positions": [[0.494, 0.494, 0.494], [0.759, 0.759, 0.759], [0.006, 0.006, 0.006], [0.242, 0.242, 0.242]]}

***

# 9
{"formula": "Y2CrIn2", "functional": "PBE-GGA", "state": "optimized geometry", "e_form_ev_per_fu": -0.71, "n_ef_per_ev_cell": 12.71, "space_group": "P4/mbm, No. 127", "e_tot_ry_per_atom": -0.4225, "lattice_angstrom": [[7.528, 0.000, 0.000], [0.000, 7.528, 0.000], [0.000, 0.000, 4.569]], "species": ["Y", "Y", "Y", "Y", "Cr", "Cr", "In", "In", "In", "In"], "fractional_positions": [[0.170, 0.670, 0.500], [0.670, 0.830, 0.500], [0.830, 0.330, 0.500], [0.330, 0.170, 0.500], [0.000, 0.000, 0.000], [0.500, 0.500, 0.000], [0.363, 0.863, 0.000], [0.863, 0.637, 0.000], [0.637, 0.137, 0.000], [0.137, 0.363, 0.000]]}

***

# 10
{"formula": "ZnCr2In2", "functional": "PBE-GGA", "state": "optimized geometry", "e_form_ev_per_fu": 3.54, "polymorph_energy_ev_per_fu": 1.80, "n_ef_per_ev_cell": 3.86, "space_group": "I4/mmm, No. 139", "e_tot_ry_per_atom": -0.3301, "lattice_angstrom": [[-2.740, -3.090, 0.087], [2.515, -2.161, 2.464], [-2.582, -0.308, 5.827]], "species": ["Cr", "Cr", "Zn", "In", "In"], "fractional_positions": [[0.421, 0.421, 0.158], [0.579, 0.579, 0.842], [0.000, 0.000, 0.000], [0.750, 0.250, 0.500], [0.250, 0.750, 0.500]]}

***

# 11
{"formula": "Zn2Cr2In", "functional": "PBE-GGA", "state": "optimized geometry", "e_form_ev_per_fu": 1.76, "n_ef_per_ev_cell": 6.98, "space_group": "P4/mbm, No. 127", "e_tot_ry_per_atom": -0.3347, "lattice_angstrom": [[-4.085, 5.382, 0.692], [-1.663, -0.418, -6.572], [-2.573, -2.054, 0.782]], "species": ["Cr", "Cr", "Cr", "Cr", "Zn", "Zn", "Zn", "Zn", "In", "In"], "fractional_positions": [[0.396, 0.896, 0.000], [0.896, 0.604, 0.000], [0.604, 0.104, 0.000], [0.104, 0.396, 0.000], [0.185, 0.685, 0.500], [0.685, 0.815, 0.500], [0.815, 0.315, 0.500], [0.315, 0.185, 0.500], [0.000, 0.000, 0.000], [0.500, 0.500, 0.000]]}

***

# 12
{"formula": "Zn3CrIn", "functional": "PBE-GGA", "state": "optimized geometry", "e_form_ev_per_fu": 3.08, "polymorph_energy_ev_per_fu": 0.00, "n_ef_per_ev_cell": 2.65, "space_group": "Pm-3m, No. 221", "e_tot_ry_per_atom": -0.1926, "lattice_angstrom": [[-4.136, 1.563, -2.170], [-0.034, -4.027, -2.835], [-2.674, -2.366, 3.393]], "species": ["Cr", "Zn", "Zn", "Zn", "In"], "fractional_positions": [[0.000, 0.000, 0.000], [0.000, 0.500, 0.000], [0.000, 0.000, 0.500], [0.500, 0.000, 0.000], [0.500, 0.500, 0.500]]}

***

# 13
{"formula": "ZnCrIn", "functional": "PBE-GGA", "state": "optimized geometry", "e_form_ev_per_fu": 0.95, "n_ef_per_ev_cell": 1.80, "space_group": "P3m1, No. 156", "e_tot_ry_per_atom": -0.3107, "lattice_angstrom": [[-3.298, -0.737, 2.960], [0.826, -3.004, -3.237], [1.956, -1.428, 1.824]], "species": ["Cr", "In", "Zn"], "fractional_positions": [[0.000, 0.000, 0.970], [0.667, 0.333, 0.421], [0.333, 0.667, 0.610]]}

***

# 14
{"formula": "ZnCrIn", "functional": "PBE-GGA", "state": "optimized geometry", "e_form_ev_per_fu": 1.15, "n_ef_per_ev_cell": 1.69, "space_group": "F-43m, No. 216", "e_tot_ry_per_atom": -0.3060, "lattice_angstrom": [[4.370, 0.000, 0.000], [2.185, 3.785, 0.000], [2.185, 1.262, 3.568]], "species": ["Cr", "In", "Zn"], "fractional_positions": [[0.000, 0.000, 0.000], [0.500, 0.500, 0.500], [0.250, 0.250, 0.250]]}